# 1
First-principles (PBE) data for HoAlPO after structural relaxation, as listed in the Open Quantum Materials Database.

Values from the calculation:
offset from the most stable computed form: 33 meV/atom
ρ: 5.5 g/cm³
total magnetization: 0.01 μB/f.u.
final energy: -50.98 eV per cell

Geometry as CIF:
```
data_HoAlPO
_cell_length_a 3.9431
_cell_length_b 6.5930
_cell_length_c 5.5517
_cell_angle_alpha 90.00
_cell_angle_beta 90.00
_cell_angle_gamma 90.00
_space_group_name_H-M_alt 'P m c 21'
_space_group_IT_number 26
loop_
_space_group_symop_operation_xyz
'x,y,z'
'-x,-y,z+1/2'
'-x,y,z'
'x,-y,z+1/2'
loop_
_atom_site_label
_atom_site_type_symbol
_atom_site_fract_x
_atom_site_fract_y
_atom_site_fract_z
_atom_site_occupancy
Ho1 Ho 0.0000 0.1843 0.0000 1
Al1 Al 0.5000 0.3919 0.6187 1
P1 P 0.0000 0.2324 0.4927 1
O1 O 0.5000 0.3628 0.9565 1
```

# 2
First-principles (PBE) data for ZrTlCuPd after structural relaxation, as listed in the Open Quantum Materials Database.

Values from the calculation:
offset from the most stable computed form: 131 meV/atom
ρ: 10.7 g/cm³
total magnetization: 0.00 μB/f.u.
final energy: -81.48 eV per cell

Geometry as CIF:
```
data_ZrTlCuPd
_cell_length_a 6.6130
_cell_length_b 6.6130
_cell_length_c 6.6130
_cell_angle_alpha 90.00
_cell_angle_beta 90.00
_cell_angle_gamma 90.00
_space_group_name_H-M_alt 'F -4 3 m'
_space_group_IT_number 216
_space_group_name_Hall 'F -4 2 3'
loop_
_atom_site_label
_atom_site_type_symbol
_atom_site_fract_x
_atom_site_fract_y
_atom_site_fract_z
_atom_site_occupancy
Zr1 Zr 0.0000 0.0000 0.0000 1
Tl1 Tl 0.2500 0.2500 0.7500 1
Cu1 Cu 0.2500 0.2500 0.2500 1
Pd1 Pd 0.0000 0.0000 0.5000 1
```

# 3
First-principles (PBE) data for TaBeNiAs after structural relaxation, as listed in the Open Quantum Materials Database.

Values from the calculation:
offset from the most stable computed form: 233 meV/atom
ρ: 9.7 g/cm³
total magnetization: 0.01 μB/f.u.
final energy: -97.20 eV per cell

Geometry as CIF:
```
data_TaBeNiAs
_cell_length_a 6.0523
_cell_length_b 6.0523
_cell_length_c 6.0523
_cell_angle_alpha 90.00
_cell_angle_beta 90.00
_cell_angle_gamma 90.00
_space_group_name_H-M_alt 'F -4 3 m'
_space_group_IT_number 216
_space_group_name_Hall 'F -4 2 3'
loop_
_atom_site_label
_atom_site_type_symbol
_atom_site_fract_x
_atom_site_fract_y
_atom_site_fract_z
_atom_site_occupancy
Ta1 Ta 0.0000 0.0000 0.0000 1
Be1 Be 0.2500 0.2500 0.2500 1
Ni1 Ni 0.2500 0.2500 0.7500 1
As1 As 0.0000 0.0000 0.5000 1
```

# 4
First-principles (PBE) data for DyHo2Cd4In2 after structural relaxation, as listed in the Open Quantum Materials Database.

Values from the calculation:
ρ: 8.8 g/cm³
total magnetization: 0.00 μB/f.u.
final energy: -52.60 eV per cell

Geometry as CIF:
```
data_DyHo2Cd4In2
_cell_length_a 4.5887
_cell_length_b 12.9605
_cell_length_c 7.4723
_cell_angle_alpha 90.00
_cell_angle_beta 90.00
_cell_angle_gamma 90.00
_space_group_name_H-M_alt 'A m m 2'
_space_group_IT_number 38
loop_
_space_group_symop_operation_xyz
'x,y,z'
'-x,-y,z'
'-x,y,z'
'x,-y,z'
'x,y+1/2,z+1/2'
'-x,-y+1/2,z+1/2'
'-x,y+1/2,z+1/2'
'x,-y+1/2,z+1/2'
loop_
_atom_site_label
_atom_site_type_symbol
_atom_site_fract_x
_atom_site_fract_y
_atom_site_fract_z
_atom_site_occupancy
Dy1 Dy 0.0000 0.0000 0.0000 1
Ho1 Ho 0.0000 0.2134 0.6405 1
Cd1 Cd 0.0000 0.0000 0.4275 1
Cd2 Cd 0.5000 0.0000 0.6702 1
Cd3 Cd 0.5000 0.1216 0.3055 1
In1 In 0.5000 0.1669 0.9270 1
```

# 5
First-principles (PBE) data for LiLuInFe after structural relaxation, as listed in the Open Quantum Materials Database.

Values from the calculation:
offset from the most stable computed form: 0 meV/atom
ρ: 8.1 g/cm³
total magnetization: 2.44 μB/f.u.
final energy: -70.68 eV per cell

Geometry as CIF:
```
data_LiLuInFe
_cell_length_a 6.6202
_cell_length_b 6.6202
_cell_length_c 6.6202
_cell_angle_alpha 90.00
_cell_angle_beta 90.00
_cell_angle_gamma 90.00
_space_group_name_H-M_alt 'F -4 3 m'
_space_group_IT_number 216
_space_group_name_Hall 'F -4 2 3'
loop_
_atom_site_label
_atom_site_type_symbol
_atom_site_fract_x
_atom_site_fract_y
_atom_site_fract_z
_atom_site_occupancy
Li1 Li 0.0000 0.0000 0.0000 1
Lu1 Lu 0.2500 0.2500 0.7500 1
In1 In 0.2500 0.2500 0.2500 1
Fe1 Fe 0.0000 0.0000 0.5000 1
```

# 6
First-principles (PBE) data for SbAsPdO after structural relaxation, as listed in the Open Quantum Materials Database.

Values from the calculation:
offset from the most stable computed form: 164 meV/atom
ρ: 6.9 g/cm³
final energy: -40.26 eV per cell

Geometry as CIF:
```
data_SbAsPdO
_cell_length_a 3.8349
_cell_length_b 5.7618
_cell_length_c 6.9826
_cell_angle_alpha 90.00
_cell_angle_beta 90.00
_cell_angle_gamma 90.00
_space_group_name_H-M_alt 'P m c 21'
_space_group_IT_number 26
loop_
_space_group_symop_operation_xyz
'x,y,z'
'-x,-y,z+1/2'
'-x,y,z'
'x,-y,z+1/2'
loop_
_atom_site_label
_atom_site_type_symbol
_atom_site_fract_x
_atom_site_fract_y
_atom_site_fract_z
_atom_site_occupancy
Sb1 Sb 0.0000 0.0587 0.0000 1
As1 As 0.5000 0.3348 0.8473 1
Pd1 Pd 0.5000 0.2792 0.5088 1
O1 O 0.0000 0.1924 0.2743 1
```

# 7
First-principles (PBE) data for HfAlAsO after structural relaxation, as listed in the Open Quantum Materials Database.

Values from the calculation:
offset from the most stable computed form: 244 meV/atom
ρ: 6.7 g/cm³
total magnetization: 0.00 μB/f.u.
final energy: -55.31 eV per cell

Geometry as CIF:
```
data_HfAlAsO
_cell_length_a 3.8654
_cell_length_b 3.8654
_cell_length_c 9.8172
_cell_angle_alpha 90.00
_cell_angle_beta 90.00
_cell_angle_gamma 90.00
_space_group_name_H-M_alt 'P 4/n m m'
_space_group_IT_number 129
loop_
_space_group_symop_operation_xyz
'x,y,z'
'-x,-y,-z'
'-y+1/2,x,z'
'y+1/2,-x,-z'
'-x+1/2,-y+1/2,z'
'x+1/2,y+1/2,-z'
'y,-x+1/2,z'
'-y,x+1/2,-z'
'x+1/2,-y,-z'
'-x+1/2,y,z'
'-y,-x,-z'
'y,x,z'
'-x,y+1/2,-z'
'x,-y+1/2,z'
'y+1/2,x+1/2,-z'
'-y+1/2,-x+1/2,z'
loop_
_atom_site_label
_atom_site_type_symbol
_atom_site_fract_x
_atom_site_fract_y
_atom_site_fract_z
_atom_site_occupancy
Hf1 Hf 0.2500 0.7500 0.0000 1
Al1 Al 0.2500 0.2500 0.4370 1
As1 As 0.2500 0.2500 0.1947 1
O1 O 0.2500 0.7500 0.5000 1
```

# 8
First-principles (PBE) data for ScBeCuSn after structural relaxation, as listed in the Open Quantum Materials Database.

Values from the calculation:
offset from the most stable computed form: 125 meV/atom
ρ: 5.9 g/cm³
total magnetization: 0.00 μB/f.u.
final energy: -70.34 eV per cell

Geometry as CIF:
```
data_ScBeCuSn
_cell_length_a 6.4160
_cell_length_b 6.4160
_cell_length_c 6.4160
_cell_angle_alpha 90.00
_cell_angle_beta 90.00
_cell_angle_gamma 90.00
_space_group_name_H-M_alt 'F -4 3 m'
_space_group_IT_number 216
_space_group_name_Hall 'F -4 2 3'
loop_
_atom_site_label
_atom_site_type_symbol
_atom_site_fract_x
_atom_site_fract_y
_atom_site_fract_z
_atom_site_occupancy
Sc1 Sc 0.0000 0.0000 0.0000 1
Be1 Be 0.2500 0.2500 0.2500 1
Cu1 Cu 0.0000 0.0000 0.5000 1
Sn1 Sn 0.2500 0.2500 0.7500 1
```

# 9
First-principles (PBE) data for Gd2CoPt after structural relaxation, as listed in the Open Quantum Materials Database.

Values from the calculation:
offset from the most stable computed form: 0 meV/atom
ρ: 10.9 g/cm³
formation enthalpy at 0 K: -0.667 eV per atom
total magnetization: 0.02 μB/f.u.
final energy: -50.28 eV per cell

Geometry as CIF:
```
data_Gd2CoPt
_cell_length_a 4.1848
_cell_length_b 5.6535
_cell_length_c 7.3003
_cell_angle_alpha 90.00
_cell_angle_beta 90.00
_cell_angle_gamma 90.00
_space_group_name_H-M_alt 'P m c 21'
_space_group_IT_number 26
loop_
_space_group_symop_operation_xyz
'x,y,z'
'-x,-y,z+1/2'
'-x,y,z'
'x,-y,z+1/2'
loop_
_atom_site_label
_atom_site_type_symbol
_atom_site_fract_x
_atom_site_fract_y
_atom_site_fract_z
_atom_site_occupancy
Gd1 Gd 0.0000 0.1168 0.0000 1
Gd2 Gd 0.5000 0.3751 0.6456 1
Co1 Co 0.5000 0.1072 0.2789 1
Pt1 Pt 0.0000 0.3791 0.3590 1
```

# 10
First-principles (PBE) data for Ho2ZrAl3Cu2Ni after structural relaxation, as listed in the Open Quantum Materials Database.

Values from the calculation:
ρ: 7.1 g/cm³
total magnetization: 0.00 μB/f.u.
final energy: -92.85 eV per cell

Geometry as CIF:
```
data_Ho2ZrAl3Cu2Ni
_cell_length_a 3.9060
_cell_length_b 12.0591
_cell_length_c 6.8701
_cell_angle_alpha 90.00
_cell_angle_beta 90.00
_cell_angle_gamma 90.00
_space_group_name_H-M_alt 'A m m 2'
_space_group_IT_number 38
loop_
_space_group_symop_operation_xyz
'x,y,z'
'-x,-y,z'
'-x,y,z'
'x,-y,z'
'x,y+1/2,z+1/2'
'-x,-y+1/2,z+1/2'
'-x,y+1/2,z+1/2'
'x,-y+1/2,z+1/2'
loop_
_atom_site_label
_atom_site_type_symbol
_atom_site_fract_x
_atom_site_fract_y
_atom_site_fract_z
_atom_site_occupancy
Ho1 Ho 0.0000 0.2057 0.0000 1
Zr1 Zr 0.0000 0.0000 0.3867 1
Al1 Al 0.5000 0.0000 0.0364 1
Al2 Al 0.5000 0.1143 0.6713 1
Cu1 Cu 0.5000 0.1621 0.2965 1
Ni1 Ni 0.0000 0.0000 0.7885 1
```

# 11
First-principles (PBE) data for Ac8AgGe5 after structural relaxation, as listed in the Open Quantum Materials Database.

Values from the calculation:
ρ: 8.1 g/cm³
total magnetization: 0.65 μB/f.u.
final energy: -134.38 eV per cell

Geometry as CIF:
```
data_Ac8AgGe5
_cell_length_a 9.7405
_cell_length_b 9.7405
_cell_length_c 9.8378
_cell_angle_alpha 90.00
_cell_angle_beta 90.00
_cell_angle_gamma 90.00
_space_group_name_H-M_alt 'I -4'
_space_group_IT_number 82
loop_
_space_group_symop_operation_xyz
'x,y,z'
'y,-x,-z'
'-x,-y,z'
'-y,x,-z'
'x+1/2,y+1/2,z+1/2'
'y+1/2,-x+1/2,-z+1/2'
'-x+1/2,-y+1/2,z+1/2'
'-y+1/2,x+1/2,-z+1/2'
loop_
_atom_site_label
_atom_site_type_symbol
_atom_site_fract_x
_atom_site_fract_y
_atom_site_fract_z
_atom_site_occupancy
Ac1 Ac 0.0668 0.1793 0.1901 1
Ac2 Ac 0.0699 0.3120 0.5645 1
Ag1 Ag 0.0000 0.5000 0.2500 1
Ge1 Ge 0.0000 0.0000 0.5000 1
Ge2 Ge 0.1252 0.2500 0.8770 1
```

# 12
First-principles (PBE) data for BeZnFePb after structural relaxation, as listed in the Open Quantum Materials Database.

Values from the calculation:
offset from the most stable computed form: 41 meV/atom
ρ: 9.3 g/cm³
total magnetization: 2.00 μB/f.u.
final energy: -56.63 eV per cell

Geometry as CIF:
```
data_BeZnFePb
_cell_length_a 6.2259
_cell_length_b 6.2259
_cell_length_c 6.2259
_cell_angle_alpha 90.00
_cell_angle_beta 90.00
_cell_angle_gamma 90.00
_space_group_name_H-M_alt 'F -4 3 m'
_space_group_IT_number 216
_space_group_name_Hall 'F -4 2 3'
loop_
_atom_site_label
_atom_site_type_symbol
_atom_site_fract_x
_atom_site_fract_y
_atom_site_fract_z
_atom_site_occupancy
Be1 Be 0.0000 0.0000 0.0000 1
Zn1 Zn 0.0000 0.0000 0.5000 1
Fe1 Fe 0.2500 0.2500 0.2500 1
Pb1 Pb 0.2500 0.2500 0.7500 1
```

Question: Look up the final energy of the eleventh one.
Answer: -134.38 eV per cell